! PaAgGe2, optimized geometry, DFT PBE-GGA; values from VASP
! Theoretical density   9.86 g cm⁻³
! Uncorrected energy   -5.74 eV/atom
! Energy of formation from the pure elements   -0.35 eV/atom
&SYSTEM
  ibrav = 0, nat = 8, ntyp = 3
/
ATOMIC_SPECIES
Ag 107.87 Ag.upf
Pa 231.04 Pa.upf
Ge 72.64 Ge.upf
CELL_PARAMETERS angstrom
4.054 0.000 -0.824
-0.167 4.050 -0.824
-0.084 -0.087 9.972
ATOMIC_POSITIONS crystal
Ag 0.750 0.250 0.500
Ag 0.250 0.750 0.500
Pa 0.111 0.111 0.223
Pa 0.889 0.889 0.777
Ge 0.648 0.648 0.296
Ge 0.000 0.500 0.000
Ge 0.352 0.352 0.704
Ge 0.500 0.000 0.000

=====

! LaTbTm4, optimized geometry, DFT PBE-GGA; values from VASP
! Theoretical density   8.28 g cm⁻³
! Uncorrected energy   -4.37 eV/atom
! Energy of formation from the pure elements   0.21 eV/atom
&SYSTEM
  ibrav = 0, nat = 6, ntyp = 3
/
ATOMIC_SPECIES
Tm 168.93 Tm.upf
Tb 158.93 Tb.upf
La 138.91 La.upf
CELL_PARAMETERS angstrom
3.379 0.235 0.001
-0.404 5.789 0.001
-0.001 -0.002 9.933
ATOMIC_POSITIONS crystal
Tm 0.497 0.001 0.184
Tm 0.997 0.501 0.308
Tm 0.997 0.501 0.696
Tm 0.497 0.001 0.820
Tb 0.497 0.501 0.002
La 0.997 0.001 0.502

=====

Calculated DOS at the Fermi energy in order - 4.69, 13.06 states/eV per cell
Calculated total magnetization in order - 0.00, 0.00 μB per formula unit